# 1
VASP calculation (PBE-GGA) on an optimized crystal structure of KMnAg2.

Calculated values
- VASP energy: -3.5980 eV per atom
- V: 24.6 Å³ per atom
- Formation enthalpy at 0 K: 394 meV/atom
- Calculated density: 5.2 Mg/m³
- Energy above the most stable polymorph in this dataset: 8.80 kJ per mole of atoms

abc: 4.7321 4.7321 7.3970
angles: 84.92 84.92 36.61
With the nearest neighbours (Å) after each atom.
Fractional coordinates of all 4 atoms:
K 0.7500 0.7500 0.7500  2 K 2.97
Ag 0.5154 0.5154 0.4196  3 Mn 2.78-2.80, 4 Ag 2.95-2.97
Ag 0.9846 0.9846 0.0804  3 Mn 2.78-2.80, 4 Ag 2.95-2.97
Mn 0.2500 0.2500 0.2500  6 Ag 2.78-2.80, 2 Mn 2.97



# 2
VASP calculation (PBE-GGA) on an optimized crystal structure of KMnAg2.

Calculated values
- VASP energy: -3.5284 eV per atom
- V: 23.0 Å³ per atom
- Formation enthalpy at 0 K: 464 meV/atom
- Calculated density: 5.6 Mg/m³
- Energy above the most stable polymorph in this dataset: 15.51 kJ per mole of atoms

abc: 6.4036 6.4036 6.4036
angles: 152.68 129.83 58.07
With the nearest neighbours (Å) after each atom.
Fractional coordinates of all 4 atoms:
K 0.5031 0.5031 0.0000  2 K 3.03, 4 Ag 3.11
Ag 0.0031 0.0031 0.0000  2 Mn 2.79, 4 Ag 2.91-3.03, 4 K 3.11
Ag 0.7816 0.2816 0.5000  4 Ag 2.91-3.03, 4 Mn 3.20
Mn 0.2122 0.7122 0.5000  2 Ag 2.79, 2 Mn 3.03



# 3
VASP calculation (PBE-GGA) on an optimized crystal structure of KMnAg2.

Calculated values
- VASP energy: -3.5703 eV per atom
- V: 24.1 Å³ per atom
- Formation enthalpy at 0 K: 422 meV/atom
- Calculated density: 5.3 Mg/m³
- Energy above the most stable polymorph in this dataset: 11.47 kJ per mole of atoms

abc: 2.9861 4.2081 7.6634
angles: 90.00 90.00 90.00
With the nearest neighbours (Å) after each atom.
Fractional coordinates of all 4 atoms:
Mn 0.5000 0.5000 0.8368  5 Ag 2.68-2.81, 2 Mn 2.99
Ag 0.0000 0.0000 0.9829  4 Mn 2.81, 6 Ag 2.99-3.02
Ag 0.5000 0.5000 0.1866  1 Mn 2.68, 2 Ag 2.99
K 0.0000 0.0000 0.4937  2 K 2.99



# 4
VASP calculation (PBE-GGA) on an optimized crystal structure of K2MnAg.

Calculated values
- VASP energy: -3.0458 eV per atom
- V: 38.4 Å³ per atom
- Formation enthalpy at 0 K: 508 meV/atom
- Calculated density: 2.6 Mg/m³
- Energy above the most stable polymorph in this dataset: 8.30 kJ per mole of atoms

abc: 4.7110 5.1244 6.8617
angles: 68.14 90.00 90.00
With the nearest neighbours (Å) after each atom.
Fractional coordinates of all 4 atoms:
K 0.5000 0.2730 0.3284  3 Ag 3.61-3.82, 4 Mn 3.70
K 0.0000 0.9784 0.9188  3 Mn 3.59-3.86, 4 Ag 3.68-3.69
Ag 0.5000 0.5735 0.7284  2 Mn 2.69
Mn 0.0000 0.6751 0.5244  2 Ag 2.69



# 5
VASP calculation (PBE-GGA) on an optimized crystal structure of K2MnAg.

Calculated values
- VASP energy: -2.9258 eV per atom
- V: 30.8 Å³ per atom
- Formation enthalpy at 0 K: 628 meV/atom
- Calculated density: 3.3 Mg/m³
- Energy above the most stable polymorph in this dataset: 19.87 kJ per mole of atoms

abc: 5.5837 5.5837 5.5837
angles: 60.00 60.00 60.00
With the nearest neighbours (Å) after each atom.
Fractional coordinates of all 4 atoms:
Ag 0.5000 0.5000 0.5000  4 Mn 3.42, 4 K 3.42
K 0.0000 0.0000 0.0000  4 K 3.42, 4 Mn 3.42
K 0.2500 0.2500 0.2500  4 Ag 3.42, 4 K 3.42
Mn 0.7500 0.7500 0.7500  4 Ag 3.42, 4 K 3.42



# 6
VASP calculation (PBE-GGA) on an optimized crystal structure of KMnAg3.

Calculated values
- VASP energy: -2.3238 eV per atom
- V: 32.4 Å³ per atom
- Formation enthalpy at 0 K: 1440 meV/atom
- Calculated density: 4.3 Mg/m³
- Energy above the most stable polymorph in this dataset: 91.74 kJ per mole of atoms

abc: 5.4496 5.4496 5.4496
angles: 90.00 90.00 90.00
With the nearest neighbours (Å) after each atom.
Fractional coordinates of all 5 atoms:
Mn 0.5000 0.5000 0.5000  12 Ag 3.85
Ag 0.5000 0.0000 0.0000  2 K 2.72
Ag 0.0000 0.5000 0.0000  2 K 2.72
Ag 0.0000 0.0000 0.5000  2 K 2.72
K 0.0000 0.0000 0.0000  6 Ag 2.72



# 7
VASP calculation (PBE-GGA) on an optimized crystal structure of KMnAg2.

Calculated values
- VASP energy: -3.4308 eV per atom
- V: 22.2 Å³ per atom
- Formation enthalpy at 0 K: 562 meV/atom
- Calculated density: 5.8 Mg/m³
- Energy above the most stable polymorph in this dataset: 24.94 kJ per mole of atoms

abc: 10.4571 10.4571 10.4571
angles: 17.36 17.36 17.36
With the nearest neighbours (Å) after each atom.
Fractional coordinates of all 4 atoms:
Ag 0.2611 0.2611 0.2611  9 Ag 2.91-3.16
Ag 0.0014 0.0014 0.0014  3 Mn 2.78, 3 Ag 2.91
Mn 0.7359 0.7359 0.7359  3 Ag 2.78
K 0.5015 0.5015 0.5015  6 K 3.16, 3 Ag 3.40



# 8
VASP calculation (PBE-GGA) on an optimized crystal structure of KMnAg3.

Calculated values
- VASP energy: -3.2745 eV per atom
- V: 28.0 Å³ per atom
- Formation enthalpy at 0 K: 490 meV/atom
- Calculated density: 5.0 Mg/m³
- Energy above the most stable polymorph in this dataset: 0.00 kJ per mole of atoms

abc: 5.1915 5.1915 5.1915
angles: 90.00 90.00 90.00
With the nearest neighbours (Å) after each atom.
Fractional coordinates of all 5 atoms:
Ag 0.0000 0.5000 0.0000  2 Mn 2.60
Ag 0.0000 0.0000 0.5000  2 Mn 2.60
Ag 0.5000 0.0000 0.0000  2 Mn 2.60
K 0.5000 0.5000 0.5000  12 Ag 3.67
Mn 0.0000 0.0000 0.0000  6 Ag 2.60



# 9
VASP calculation (PBE-GGA) on an optimized crystal structure of K2MnAg.

Calculated values
- VASP energy: -3.0431 eV per atom
- V: 35.7 Å³ per atom
- Formation enthalpy at 0 K: 511 meV/atom
- Calculated density: 2.8 Mg/m³
- Energy above the most stable polymorph in this dataset: 8.55 kJ per mole of atoms

abc: 7.0705 7.0705 7.0705
angles: 147.80 130.13 60.61
With the nearest neighbours (Å) after each atom.
Fractional coordinates of all 4 atoms:
K 0.0343 0.0343 0.0000  2 Ag 3.71, 4 Mn 3.75, 4 K 3.84-3.92
K 0.7326 0.2326 0.5000  4 Ag 3.64, 4 K 3.84-3.92, 4 Mn 3.92-4.07
Mn 0.4408 0.4408 0.0000  2 Ag 2.67
Ag 0.2922 0.7922 0.5000  2 Mn 2.67



# 10
VASP calculation (PBE-GGA) on an optimized crystal structure of KMn3Ag.

Calculated values
- VASP energy: -5.2587 eV per atom
- V: 27.4 Å³ per atom
- Formation enthalpy at 0 K: 1033 meV/atom
- Calculated density: 3.8 Mg/m³
- Energy above the most stable polymorph in this dataset: 0.00 kJ per mole of atoms

abc: 5.1533 5.1533 5.1533
angles: 90.00 90.00 90.00
With the nearest neighbours (Å) after each atom.
Fractional coordinates of all 5 atoms:
Mn 0.0000 0.5000 0.0000  2 Ag 2.58
Mn 0.0000 0.0000 0.5000  2 Ag 2.58
Mn 0.5000 0.0000 0.0000  2 Ag 2.58
K 0.5000 0.5000 0.5000  12 Mn 3.64
Ag 0.0000 0.0000 0.0000  6 Mn 2.58



# 11
VASP calculation (PBE-GGA) on an optimized crystal structure of K2MnAg2.

Calculated values
- VASP energy: -2.8701 eV per atom
- V: 33.3 Å³ per atom
- Formation enthalpy at 0 K: 543 meV/atom
- Calculated density: 3.5 Mg/m³
- Energy above the most stable polymorph in this dataset: 0.00 kJ per mole of atoms

abc: 3.8790 3.8790 11.3870
angles: 80.19 80.19 90.00
With the nearest neighbours (Å) after each atom.
Fractional coordinates of all 5 atoms:
Mn 0.0000 0.0000 0.0000  8 K 3.78, 4 Mn 3.88
K 0.3824 0.3824 0.2352  4 Ag 3.51, 4 Mn 3.78, 4 K 3.88
K 0.6176 0.6176 0.7648  4 Ag 3.51, 4 Mn 3.78, 4 K 3.88
Ag 0.7500 0.2500 0.5000  4 Ag 2.74
Ag 0.2500 0.7500 0.5000  4 Ag 2.74



# 12
VASP calculation (PBE-GGA) on an optimized crystal structure of KMnAg2.

Calculated values
- VASP energy: -3.3761 eV per atom
- V: 22.9 Å³ per atom
- Formation enthalpy at 0 K: 616 meV/atom
- Calculated density: 5.6 Mg/m³
- Energy above the most stable polymorph in this dataset: 30.21 kJ per mole of atoms

abc: 5.0602 5.0602 5.0602
angles: 60.00 60.00 60.00
With the nearest neighbours (Å) after each atom.
Fractional coordinates of all 4 atoms:
Ag 0.0000 0.0000 0.0000  4 Mn 3.10, 4 Ag 3.10
Ag 0.2500 0.2500 0.2500  4 K 3.10, 4 Ag 3.10
Mn 0.7500 0.7500 0.7500  4 K 3.10, 4 Ag 3.10
K 0.5000 0.5000 0.5000  4 Ag 3.10, 4 Mn 3.10